Entry from Alexandria via LeMat-Bulk: a relaxed structure of RbAcInTe3 (PBE).

Cell: 5.2684 9.6711 10.8770 Å, 105.09 90.00 90.00°
Atoms (fractional coordinates):
Te1 0.7500 0.4714 0.1685
Te2 0.2500 0.5286 0.8315
Te3 0.7500 0.2094 0.5333
Te4 0.2500 0.0909 0.8599
Te5 0.2500 0.7906 0.4667
Te6 0.7500 0.9091 0.1401
Ac1 0.2500 0.6814 0.1375
Ac2 0.7500 0.3186 0.8625
In1 0.2500 0.1151 0.5959
In2 0.7500 0.8849 0.4041
Rb1 0.7500 0.7836 0.7580
Rb2 0.2500 0.2164 0.2420

Summary:
SG: P2_1/m
Electronic total energy (eV/cell): -46.61